No. 1
VASP calculation (PBE) on crystalline LaDy3Hg2 at its relaxed geometry.

Calculated values
space-group type = No. 12
calculated density = 9.660 Mg/m³
total energy = -3.490 eV per atom
energy above the most stable polymorph in this dataset = 40 kJ/mol of formula units
DOS(E_F) = 11.2 states/eV/cell

Lattice parameters (Å, degrees): 5.379 9.542 8.931 124.86 90.00 106.37
Positions (direct):
1 Dy 0.065 0.129 0.407
2 Hg 0.776 0.551 0.159
3 Dy 0.694 0.389 0.388
4 Hg 0.493 0.986 0.154
5 Dy 0.935 0.871 0.593
6 La 0.868 0.737 0.923
7 Dy 0.382 0.764 0.291
8 Dy 0.618 0.236 0.709
9 La 0.132 0.263 0.077
10 Hg 0.507 0.014 0.846
11 Dy 0.306 0.611 0.612
12 Hg 0.224 0.449 0.841

---

No. 2
VASP calculation (PBE) on crystalline La4DyHg at its relaxed geometry.

Calculated values
space-group type = No. 123
calculated density = 6.685 Mg/m³
total energy = -3.886 eV per atom
energy above the most stable polymorph in this dataset = 215 kJ/mol of formula units
DOS(E_F) = 9.2 states/eV/cell

Lattice parameters (Å, degrees): 5.454 5.456 7.669 89.98 89.99 90.00
Positions (direct):
1 Dy 0.501 0.497 0.998
2 Hg 0.001 0.997 0.498
3 La 0.501 0.997 0.256
4 La 0.501 0.998 0.741
5 La 0.001 0.497 0.740
6 La 0.001 0.497 0.256

---

No. 3
VASP calculation (PBE) on crystalline LaDy3Hg2 at its relaxed geometry.

Calculated values
space-group type = No. 26
calculated density = 9.778 Mg/m³
total energy = -3.559 eV per atom
energy above the most stable polymorph in this dataset = 0 kJ/mol of formula units
DOS(E_F) = 7.2 states/eV/cell

Lattice parameters (Å, degrees): 5.135 7.224 9.409 90.00 90.00 90.00
Positions (direct):
1 Dy 0.500 0.166 0.831
2 Hg 0.000 0.255 0.652
3 Dy 0.000 0.985 0.058
4 La 0.500 0.015 0.442
5 Dy 0.000 0.835 0.682
6 Hg 0.000 0.755 0.348
7 Hg 0.500 0.244 0.144
8 Dy 0.000 0.335 0.318
9 La 0.500 0.515 0.558
10 Hg 0.500 0.744 0.856
11 Dy 0.000 0.485 0.942
12 Dy 0.500 0.666 0.169

---

No. 4
VASP calculation (PBE) on crystalline LaDy2Hg6 at its relaxed geometry.

Calculated values
space-group type = No. 191
calculated density = 12.225 Mg/m³
total energy = -2.182 eV per atom
DOS(E_F) = 6.5 states/eV/cell

Lattice parameters (Å, degrees): 3.472 8.678 8.679 120.00 90.00 90.00
Site moments in Bohr magnetons follow the coordinates.
Positions (direct):
1 La 0.000 0.000 0.000  0.07
2 Hg 0.500 0.663 0.000  0.00
3 Hg 0.500 0.663 0.663  0.00
4 Hg 0.500 0.000 0.663  0.00
5 Dy 0.000 0.667 0.333  0.02
6 Hg 0.500 0.337 0.000  0.00
7 Dy 0.000 0.333 0.667  0.02
8 Hg 0.500 0.337 0.337  0.00
9 Hg 0.500 0.000 0.337  0.00

---

No. 5
VASP calculation (PBE) on crystalline La3Dy2Hg3 at its relaxed geometry.

Calculated values
space-group type = No. 71
calculated density = 9.219 Mg/m³
total energy = -3.481 eV per atom
DOS(E_F) = 10.1 states/eV/cell

Lattice parameters (Å, degrees): 3.813 5.569 11.885 103.55 99.23 90.00
Positions (direct):
1 Hg 0.126 0.126 0.252
2 Dy 0.734 0.234 0.468
3 Dy 0.266 0.766 0.532
4 La 0.377 0.377 0.755
5 Hg 0.000 0.500 0.000
6 Hg 0.874 0.874 0.748
7 La 0.500 0.000 0.000
8 La 0.623 0.623 0.245

---

No. 6
VASP calculation (PBE) on crystalline La2Dy2Hg at its relaxed geometry.

Calculated values
space-group type = No. 141
calculated density = 7.718 Mg/m³
total energy = -3.897 eV per atom
energy above the most stable polymorph in this dataset = 75 kJ/mol of formula units
DOS(E_F) = 20.1 states/eV/cell

Lattice parameters (Å, degrees): 5.169 5.169 13.443 101.09 101.09 90.00
Positions (direct):
1 Hg 0.500 0.500 0.000
2 Dy 0.424 0.924 0.849
3 La 0.926 0.426 0.852
4 La 0.574 0.074 0.148
5 La 0.176 0.176 0.352
6 Dy 0.674 0.674 0.349
7 La 0.824 0.824 0.648
8 Hg 0.250 0.750 0.500
9 Dy 0.076 0.576 0.151
10 Dy 0.326 0.326 0.651

---

No. 7
VASP calculation (PBE) on crystalline LaDy6Hg2 at its relaxed geometry.

Calculated values
space-group type = No. 12
calculated density = 9.335 Mg/m³
total energy = -3.885 eV per atom
DOS(E_F) = 10.3 states/eV/cell

Lattice parameters (Å, degrees): 3.742 6.628 11.774 75.10 80.86 73.60
Positions (direct):
1 Hg 0.349 0.081 0.222
2 Dy 0.689 0.496 0.126
3 Dy 0.687 0.208 0.418
4 La 0.000 0.000 0.000
5 Dy 0.985 0.689 0.340
6 Hg 0.651 0.919 0.778
7 Dy 0.015 0.311 0.660
8 Dy 0.313 0.792 0.582
9 Dy 0.311 0.504 0.874

---

No. 8
VASP calculation (PBE) on crystalline La2Dy6Hg at its relaxed geometry.

Calculated values
space-group type = No. 71
calculated density = 8.326 Mg/m³
total energy = -4.204 eV per atom
DOS(E_F) = 11.1 states/eV/cell

Lattice parameters (Å, degrees): 3.602 10.267 9.541 122.55 100.87 90.00
Positions (direct):
1 La 0.858 0.358 0.717
2 Hg 0.000 0.000 0.000
3 Dy 0.820 0.661 0.641
4 Dy 0.180 0.339 0.359
5 Dy 0.820 0.980 0.641
6 Dy 0.180 0.020 0.359
7 Dy 0.500 0.267 0.000
8 La 0.142 0.642 0.283
9 Dy 0.500 0.733 0.000

---

No. 9
VASP calculation (PBE) on crystalline La5Dy4Hg4 at its relaxed geometry.

Calculated values
space-group type = No. 87
calculated density = 8.759 Mg/m³
total energy = -3.713 eV per atom
DOS(E_F) = 11.9 states/eV/cell

Lattice parameters (Å, degrees): 5.211 9.213 9.213 85.41 73.57 73.57
Positions (direct):
1 Dy 0.904 0.496 0.696
2 La 0.623 0.690 0.065
3 Hg 0.245 0.667 0.842
4 Dy 0.400 0.696 0.504
5 Hg 0.088 0.158 0.667
6 La 0.688 0.935 0.690
7 La 0.000 0.000 0.000
8 La 0.377 0.310 0.935
9 Hg 0.912 0.842 0.333
10 Dy 0.600 0.304 0.496
11 Hg 0.755 0.333 0.158
12 La 0.312 0.065 0.310
13 Dy 0.096 0.504 0.304

---

No. 10
VASP calculation (PBE) on crystalline La6DyHg5 at its relaxed geometry.

Calculated values
space-group type = No. 10
calculated density = 9.078 Mg/m³
total energy = -3.347 eV per atom
DOS(E_F) = 16.4 states/eV/cell

Lattice parameters (Å, degrees): 5.481 7.901 8.876 90.00 107.96 89.99
Site moments in Bohr magnetons follow the coordinates.
Positions (direct):
1 La 0.500 0.274 0.000  0.03
2 La 0.173 0.246 0.347  0.06
3 Hg 0.647 0.000 0.295  0.00
4 La 0.827 0.754 0.653  0.06
5 Hg 0.353 0.000 0.705  0.00
6 La 0.827 0.246 0.653  0.06
7 Hg 0.333 0.500 0.664  0.01
8 Dy 0.000 0.000 0.000  0.13
9 La 0.500 0.726 0.000  0.03
10 Hg 0.000 0.500 0.000  0.00
11 La 0.173 0.754 0.347  0.06
12 Hg 0.667 0.500 0.336  0.01

---

No. 11
VASP calculation (PBE) on crystalline LaDyHg4 at its relaxed geometry.

Calculated values
space-group type = No. 216
calculated density = 11.842 Mg/m³
total energy = -2.057 eV per atom
energy above the most stable polymorph in this dataset = 65 kJ/mol of formula units
DOS(E_F) = 2.7 states/eV/cell

Lattice parameters (Å, degrees): 6.027 6.027 6.027 60.00 60.00 60.00
Positions (direct):
1 Hg 0.625 0.625 0.625
2 Dy 0.000 0.000 0.000
3 Hg 0.124 0.625 0.625
4 Hg 0.625 0.124 0.625
5 La 0.250 0.250 0.250
6 Hg 0.625 0.625 0.124

---

No. 12
VASP calculation (PBE) on crystalline LaDy4Hg5 at its relaxed geometry.

Calculated values
space-group type = No. 123
calculated density = 11.208 Mg/m³
total energy = -2.968 eV per atom
DOS(E_F) = 10.1 states/eV/cell

Lattice parameters (Å, degrees): 3.741 3.741 18.974 90.00 90.00 90.00
Site moments in Bohr magnetons follow the coordinates.
Positions (direct):
1 Dy 0.000 0.000 0.207  0.05
2 Hg 0.500 0.500 0.886  0.01
3 Dy 0.000 0.000 0.597  0.04
4 La 0.000 0.000 0.000  0.20
5 Dy 0.000 0.000 0.793  0.05
6 Dy 0.000 0.000 0.403  0.04
7 Hg 0.500 0.500 0.305  0.00
8 Hg 0.500 0.500 0.114  0.01
9 Hg 0.500 0.500 0.500  0.01
10 Hg 0.500 0.500 0.695  0.00

---

No. 13
VASP calculation (PBE) on crystalline La3DyHg at its relaxed geometry.

Calculated values
space-group type = No. 59
calculated density = 7.426 Mg/m³
total energy = -4.039 eV per atom
energy above the most stable polymorph in this dataset = 0 kJ/mol of formula units
DOS(E_F) = 15.7 states/eV/cell

Lattice parameters (Å, degrees): 3.885 11.344 10.865 90.00 90.00 133.26
Positions (direct):
1 La 0.260 0.755 0.499
2 La 0.260 0.755 0.001
3 La 0.740 0.245 0.999
4 Hg 0.200 0.225 0.750
5 La 0.740 0.245 0.501
6 Dy 0.132 0.941 0.750
7 Dy 0.868 0.059 0.250
8 La 0.655 0.453 0.250
9 Hg 0.800 0.775 0.250
10 La 0.345 0.547 0.750

---

No. 14
VASP calculation (PBE) on crystalline LaDyHg at its relaxed geometry.

Calculated values
space-group type = No. 107
calculated density = 9.200 Mg/m³
total energy = -3.589 eV per atom
energy above the most stable polymorph in this dataset = 3 kJ/mol of formula units
DOS(E_F) = 3.3 states/eV/cell

Lattice parameters (Å, degrees): 3.748 3.748 6.972 105.59 105.59 90.00
Site moments in Bohr magnetons follow the coordinates.
Positions (direct):
1 La 0.609 0.609 0.217  0.15
2 Dy 0.304 0.304 0.608  0.22
3 Hg 0.937 0.937 0.874  -0.01

---

No. 15
VASP calculation (PBE) on crystalline La3DyHg2 at its relaxed geometry.

Calculated values
space-group type = No. 26
calculated density = 8.726 Mg/m³
total energy = -3.669 eV per atom
energy above the most stable polymorph in this dataset = 0 kJ/mol of formula units
DOS(E_F) = 8.4 states/eV/cell

Lattice parameters (Å, degrees): 5.407 7.052 9.786 90.00 90.00 90.00
Positions (direct):
1 Hg 0.000 0.775 0.353
2 Hg 0.500 0.227 0.155
3 La 0.500 0.187 0.824
4 Dy 0.500 0.011 0.450
5 La 0.000 0.309 0.329
6 La 0.500 0.687 0.176
7 La 0.000 0.991 0.056
8 Hg 0.000 0.275 0.647
9 La 0.000 0.809 0.671
10 Dy 0.500 0.511 0.550
11 La 0.000 0.491 0.944
12 Hg 0.500 0.727 0.845

---

No. 16
VASP calculation (PBE) on crystalline LaDyHg6 at its relaxed geometry.

Calculated values
space-group type = No. 38
calculated density = 12.343 Mg/m³
total energy = -1.796 eV per atom
DOS(E_F) = 6.3 states/eV/cell

Lattice parameters (Å, degrees): 5.055 6.783 6.783 119.47 90.00 90.00
Positions (direct):
1 La 0.500 0.411 0.589
2 Hg 0.500 0.418 0.090
3 Hg 0.000 0.586 0.414
4 Hg 0.000 0.596 0.933
5 Hg 0.500 0.922 0.078
6 Hg 0.500 0.910 0.582
7 Hg 0.000 0.067 0.404
8 Dy 0.000 0.089 0.911

---

No. 17
VASP calculation (PBE) on crystalline La12Dy3Hg at its relaxed geometry.

Calculated values
space-group type = No. 123
calculated density = 7.097 Mg/m³
total energy = -4.614 eV per atom
DOS(E_F) = 22.1 states/eV/cell

Lattice parameters (Å, degrees): 5.149 5.149 20.786 90.00 90.00 90.00
Positions (direct):
1 La 0.500 0.500 0.247
2 La 0.500 0.500 0.753
3 La 0.500 0.500 0.500
4 Dy 0.000 0.000 0.247
5 La 0.500 0.000 0.374
6 La 0.500 0.000 0.122
7 Dy 0.000 0.000 0.500
8 La 0.000 0.500 0.878
9 La 0.500 0.500 0.000
10 Dy 0.000 0.000 0.753
11 La 0.000 0.500 0.374
12 La 0.000 0.500 0.122
13 La 0.000 0.500 0.626
14 La 0.500 0.000 0.626
15 La 0.500 0.000 0.878
16 Hg 0.000 0.000 0.000

---

No. 18
VASP calculation (PBE) on crystalline LaDy2Hg4 at its relaxed geometry.

Calculated values
space-group type = No. 65
calculated density = 10.321 Mg/m³
total energy = -2.577 eV per atom
DOS(E_F) = 4.1 states/eV/cell

Lattice parameters (Å, degrees): 5.159 6.536 6.536 112.44 90.00 90.00
Positions (direct):
1 Hg 0.500 0.500 0.000
2 Dy 0.000 0.758 0.242
3 La 0.500 0.500 0.500
4 Hg 0.500 0.000 0.500
5 Hg 0.000 0.778 0.778
6 Dy 0.000 0.242 0.758
7 Hg 0.000 0.222 0.222

---

No. 19
VASP calculation (PBE) on crystalline LaDy2Hg at its relaxed geometry.

Calculated values
space-group type = No. 71
calculated density = 8.983 Mg/m³
total energy = -3.846 eV per atom
energy above the most stable polymorph in this dataset = 0 kJ/mol of formula units
DOS(E_F) = 4.8 states/eV/cell

Lattice parameters (Å, degrees): 3.791 5.600 6.704 114.74 106.42 90.00
Positions (direct):
1 Hg 0.500 0.000 0.000
2 La 0.000 0.500 0.000
3 Dy 0.781 0.781 0.562
4 Dy 0.219 0.219 0.438

---

No. 20
VASP calculation (PBE) on crystalline La5DyHg2 at its relaxed geometry.

Calculated values
space-group type = No. 194
calculated density = 7.609 Mg/m³
total energy = -3.880 eV per atom
DOS(E_F) = 24.9 states/eV/cell

Lattice parameters (Å, degrees): 5.603 5.603 20.201 90.00 90.00 120.00
Positions (direct):
1 La 0.333 0.667 0.561
2 La 0.667 0.333 0.439
3 La 0.667 0.333 0.061
4 Hg 0.667 0.333 0.901
5 La 0.000 0.000 0.840
6 La 0.000 0.000 0.660
7 Dy 0.667 0.333 0.750
8 Hg 0.333 0.667 0.401
9 Hg 0.333 0.667 0.099
10 La 0.000 0.000 0.160
11 Hg 0.667 0.333 0.599
12 Dy 0.333 0.667 0.250
13 La 0.000 0.000 0.340
14 La 0.333 0.667 0.939
15 La 0.333 0.667 0.750
16 La 0.667 0.333 0.250

---

No. 21
VASP calculation (PBE) on crystalline LaDy2Hg at its relaxed geometry.

Calculated values
space-group type = No. 166
calculated density = 8.914 Mg/m³
total energy = -3.779 eV per atom
energy above the most stable polymorph in this dataset = 26 kJ/mol of formula units
DOS(E_F) = 3.9 states/eV/cell

Lattice parameters (Å, degrees): 3.658 3.658 10.889 80.33 80.33 60.00
Positions (direct):
1 Hg 0.000 0.000 0.000
2 Dy 0.259 0.259 0.222
3 Dy 0.741 0.741 0.778
4 La 0.500 0.500 0.500

---

No. 22
VASP calculation (PBE) on crystalline LaDy5Hg3 at its relaxed geometry.

Calculated values
space-group type = No. 193
calculated density = 10.203 Mg/m³
total energy = -3.491 eV per atom
DOS(E_F) = 14.7 states/eV/cell

Lattice parameters (Å, degrees): 6.988 9.140 9.139 120.00 90.00 90.00
Positions (direct):
1 Hg 0.750 0.000 0.658
2 Hg 0.750 0.342 0.342
3 Hg 0.250 0.000 0.342
4 Dy 0.750 0.331 0.000
5 Dy 0.750 0.669 0.669
6 Dy 0.250 0.331 0.331
7 La 0.500 0.000 0.000
8 Dy 0.250 0.669 0.000
9 Dy 0.000 0.667 0.333
10 Dy 0.750 0.000 0.331
11 Hg 0.250 0.658 0.658
12 Dy 0.500 0.333 0.667
13 Hg 0.750 0.658 0.000
14 Dy 0.500 0.667 0.333
15 Hg 0.250 0.342 0.000
16 Dy 0.250 0.000 0.669
17 Dy 0.000 0.333 0.667
18 La 0.000 0.000 0.000

---

No. 23
VASP calculation (PBE) on crystalline La3DyHg at its relaxed geometry.

Calculated values
space-group type = No. 12
calculated density = 7.651 Mg/m³
total energy = -4.024 eV per atom
energy above the most stable polymorph in this dataset = 7 kJ/mol of formula units
DOS(E_F) = 15.1 states/eV/cell

Lattice parameters (Å, degrees): 3.669 8.345 11.602 105.00 99.10 90.00
Positions (direct):
1 Hg 0.583 0.614 0.166
2 La 0.985 0.752 0.970
3 Dy 0.739 0.826 0.478
4 La 0.620 0.032 0.241
5 La 0.380 0.968 0.759
6 Dy 0.261 0.174 0.522
7 La 0.825 0.541 0.650
8 La 0.015 0.248 0.030
9 Hg 0.417 0.386 0.834
10 La 0.175 0.459 0.350